{
  "formula": "HgAu3",
  "functional": "PBEsol",
  "state": "relaxed",
  "cell": [[2.9867, 0.0000, 0.0000], [0.0000, 5.0062, 0.0000], [-1.4934, -2.5031, 4.7545]],
  "species": ["Hg", "Au", "Au", "Au"],
  "fractional_positions": [[0.5000, 0.8396, 0.0000], [0.2535, 0.2502, 0.5070], [0.7465, 0.7432, 0.4930], [0.0000, 0.3338, 0.0000]],
  "spacegroup": "Imm2, No. 44",
  "crystal_system": "orthorhombic",
  "delta_e_f_ev_per_atom": 0.029,
  "dft_energy_ev_per_atom": -3.06
}

{
  "formula": "Hg3Au4",
  "functional": "PBEsol",
  "state": "relaxed",
  "cell": [[-0.6924, -2.7489, -2.1231], [2.1787, -2.0297, 1.9174], [-8.7426, -0.3646, 6.2773]],
  "species": ["Hg", "Au", "Au", "Hg", "Hg", "Au", "Au"],
  "fractional_positions": [[0.7095, 0.7095, 0.4189], [0.4295, 0.4295, 0.8590], [0.5705, 0.5705, 0.1410], [0.0000, 0.0000, 0.0000], [0.2905, 0.2905, 0.5811], [0.1381, 0.1381, 0.2762], [0.8619, 0.8619, 0.7238]],
  "spacegroup": "I4/mmm, No. 139",
  "crystal_system": "tetragonal",
  "delta_e_f_ev_per_atom": 0.071,
  "dft_energy_ev_per_atom": -2.41
}

{
  "formula": "HgAu2",
  "functional": "PBEsol",
  "state": "relaxed",
  "cell": [[-0.8008, -2.8828, -0.3926], [1.6837, 1.3949, -2.0797], [5.7592, -2.0476, 3.2891]],
  "species": ["Au", "Hg", "Au"],
  "fractional_positions": [[0.6667, 0.3333, 0.3387], [0.0000, 0.0000, 0.0000], [0.3333, 0.6667, 0.6613]],
  "spacegroup": "P-3m1, No. 164",
  "crystal_system": "trigonal",
  "delta_e_f_ev_per_atom": 0.065,
  "dft_energy_ev_per_atom": -2.74
}

{
  "formula": "HgAu3",
  "functional": "PBEsol",
  "state": "relaxed",
  "cell": [[2.9975, 0.0000, 0.0000], [0.0000, 4.7703, 0.0000], [0.0000, 0.0000, 4.9723]],
  "species": ["Au", "Au", "Au", "Hg"],
  "fractional_positions": [[0.5000, 0.0000, 0.4997], [0.0000, 0.0000, 0.9921], [0.5000, 0.5000, 0.8380], [0.0000, 0.5000, 0.3369]],
  "spacegroup": "Pmm2, No. 25",
  "crystal_system": "orthorhombic",
  "delta_e_f_ev_per_atom": 0.030,
  "dft_energy_ev_per_atom": -3.05
}

{
  "formula": "HgAu2",
  "functional": "PBEsol",
  "state": "relaxed",
  "cell": [[2.7990, 0.0000, 0.0000], [0.0000, 4.7783, 0.0000], [0.0000, -2.3891, 4.1381]],
  "species": ["Au", "Hg", "Au"],
  "fractional_positions": [[0.5000, 0.3333, 0.6667], [0.0000, 0.0000, 0.0000], [0.5000, 0.6667, 0.3333]],
  "spacegroup": "P6/mmm, No. 191",
  "crystal_system": "hexagonal",
  "delta_e_f_ev_per_atom": 0.100,
  "dft_energy_ev_per_atom": -2.70
}

{
  "formula": "HgAu2",
  "functional": "PBEsol",
  "state": "relaxed",
  "cell": [[2.9751, 0.0000, 0.0000], [0.0000, 4.7921, 0.0000], [-1.4875, 0.0000, 7.5952]],
  "species": ["Au", "Au", "Au", "Au", "Hg", "Hg"],
  "fractional_positions": [[0.0565, 0.7500, 0.1131], [0.9435, 0.2500, 0.8869], [0.2778, 0.2500, 0.5555], [0.7222, 0.7500, 0.4445], [0.6110, 0.2500, 0.2220], [0.3890, 0.7500, 0.7780]],
  "spacegroup": "Cmcm, No. 63",
  "crystal_system": "orthorhombic",
  "delta_e_f_ev_per_atom": 0.041,
  "dft_energy_ev_per_atom": -2.76
}

Which formula does entry 6 have?
HgAu2

Please write out number 3 again, unchanged.
{
  "formula": "HgAu2",
  "functional": "PBEsol",
  "state": "relaxed",
  "cell": [[-0.8008, -2.8828, -0.3926], [1.6837, 1.3949, -2.0797], [5.7592, -2.0476, 3.2891]],
  "species": ["Au", "Hg", "Au"],
  "fractional_positions": [[0.6667, 0.3333, 0.3387], [0.0000, 0.0000, 0.0000], [0.3333, 0.6667, 0.6613]],
  "spacegroup": "P-3m1, No. 164",
  "crystal_system": "trigonal",
  "delta_e_f_ev_per_atom": 0.065,
  "dft_energy_ev_per_atom": -2.74
}